No. 1
A relaxed NbPd2Au crystal, computed with PBE.

Structure (POSCAR):
```
NbPd2Au
1.0
0.0000 3.2141 3.2141
3.2141 0.0000 3.2141
3.2141 3.2141 0.0000
Pd Au Nb
2 1 1
Direct
0.7500 0.7500 0.7500 Pd
0.2500 0.2500 0.2500 Pd
0.5000 0.5000 0.5000 Au
0.0000 0.0000 0.0000 Nb
```

Energy above the lowest structure with this stoichiometry (meV per atom): 146
Mass density (g/cm³): 12.6
E_tot (eV for the cell shown): -24.4
Space group: No. 225
DFT formation energy (eV/atom): -0.179

=====

No. 2
A relaxed Nb2Pd2Au crystal, computed with PBE.

Structure (POSCAR):
```
Nb2Pd2Au
1.0
-6.8573 -0.1966 3.7181
3.4464 -3.2837 6.1826
0.5153 2.5880 1.0873
Pd Au Nb
4 2 4
Direct
0.1241 0.3759 0.0000 Pd
0.8759 0.6241 0.0000 Pd
0.6241 0.1241 0.0000 Pd
0.3759 0.8759 0.0000 Pd
0.0000 0.0000 0.0000 Au
0.5000 0.5000 0.0000 Au
0.3276 0.1724 0.5000 Nb
0.8276 0.3276 0.5000 Nb
0.1724 0.6724 0.5000 Nb
0.6724 0.8276 0.5000 Nb
```

Energy above the lowest structure with this stoichiometry (meV per atom): 69
Mass density (g/cm³): 11.4
E_tot (eV for the cell shown): -69.2
Space group: No. 127
DFT formation energy (eV/atom): -0.159

=====

No. 3
A relaxed NbPd5Au crystal, computed with PBE.

Structure (POSCAR):
```
NbPd5Au
1.0
-1.5356 2.0002 3.0546
-2.2679 -3.1196 0.9026
5.5300 -2.7036 4.5503
Nb Au Pd
1 1 5
Direct
0.5000 0.5000 0.0000 Nb
0.0000 0.0000 0.5000 Au
0.5000 0.0000 0.7743 Pd
0.5000 0.0000 0.2257 Pd
0.5000 0.5000 0.5000 Pd
0.0000 0.5000 0.7743 Pd
0.0000 0.5000 0.2257 Pd
```

Energy above the lowest structure with this stoichiometry (meV per atom): 0
Mass density (g/cm³): 11.4
E_tot (eV for the cell shown): -39.9
Space group: No. 123
DFT formation energy (eV/atom): -0.082

=====

No. 4
A relaxed NbPd6Au5 crystal, computed with PBE.

Structure (POSCAR):
```
NbPd6Au5
1.0
3.8731 -0.0201 1.2907
0.0370 7.9086 0.0123
-0.0092 -0.0101 6.4841
Pd Au Nb
6 5 1
Direct
0.5000 0.2375 0.0000 Pd
0.8373 0.2447 0.3255 Pd
0.8373 0.7553 0.3255 Pd
0.5000 0.7625 0.0000 Pd
0.1627 0.2447 0.6745 Pd
0.1627 0.7553 0.6745 Pd
0.6657 0.5000 0.6686 Au
0.0000 0.5000 0.0000 Au
0.6657 0.0000 0.6687 Au
0.3343 0.0000 0.3313 Au
0.3343 0.5000 0.3314 Au
0.0000 0.0000 0.0000 Nb
```

Mass density (g/cm³): 14.3
E_tot (eV for the cell shown): -60.2
Space group: No. 65
DFT formation energy (eV/atom): -0.212

=====

| no. | total magnetic moment (μB per formula unit) |
| --- | --- |
| 1 | 0.0 |
| 2 | 0.0 |
| 3 | 0.0 |
| 4 | 0.0 |